(1)
A relaxed structure of As2PtSe, computed with GGA-PBE.

Results
- density of states at the Fermi level (states/eV per cell) = 2.27
- formation energy from raw total energies (eV per formula unit) = 0.543

a b c (Å): 6.207 6.207 4.343
angles (deg): 65.66 65.66 31.75
Fractional positions:
As1 0.434 0.434 0.597
As2 0.066 0.066 0.903
Se1 0.250 0.250 0.250
Pt1 0.750 0.750 0.750

---

(2)
A relaxed structure of AsPt2Se, computed with GGA-PBE.

Results
- density of states at the Fermi level (states/eV per cell) = 3.31
- formation energy from raw total energies (eV per formula unit) = -0.147

a b c (Å): 3.636 2.772 7.802
angles (deg): 110.55 90.00 90.00
Fractional positions:
Se1 0.500 0.250 0.250
Pt1 0.000 0.993 0.990
Pt2 0.000 0.507 0.510
As1 0.500 0.750 0.750

---

(3)
A relaxed structure of AsPt2Se, computed with GGA-PBE.

Results
- density of states at the Fermi level (states/eV per cell) = 2.72
- formation energy from raw total energies (eV per formula unit) = -0.195

a b c (Å): 4.588 4.588 4.572
angles (deg): 68.67 68.67 105.95
Fractional positions:
Pt1 0.500 0.500 0.000
Pt2 0.000 0.000 0.000
Se1 0.500 0.000 0.500
As1 0.000 0.500 0.500

---

(4)
A relaxed structure of AsPt2Se, computed with GGA-PBE.

Results
- density of states at the Fermi level (states/eV per cell) = 2.02
- formation energy from raw total energies (eV per formula unit) = 0.877

a b c (Å): 2.947 5.083 4.581
angles (deg): 90.00 90.00 90.00
Fractional positions:
Pt1 0.500 0.500 0.000
Pt2 0.000 0.000 0.000
Se1 0.500 0.000 0.500
As1 0.000 0.500 0.500

---

Question: formation energy from raw total energies of number 4 (AsPt2Se)?
Answer: 0.877 eV per formula unit

---

Question: Look up the formation energy from raw total energies of the first one.
Answer: 0.543 eV per formula unit